Material: HfHgTe2
Method: DFT, PBE
State: optimized geometry Values from VASP.

Quantum ESPRESSO input file:
```
&SYSTEM
  ibrav = 0, nat = 16, ntyp = 3
/
ATOMIC_SPECIES
Hf 178.49 Hf.upf
Hg 200.59 Hg.upf
Te 127.60 Te.upf
CELL_PARAMETERS angstrom
4.076 0.000 0.000
0.000 26.719 0.000
0.000 0.000 4.544
ATOMIC_POSITIONS angstrom
Hf 0.000 1.194 1.136
Hf 0.000 25.524 3.408
Hf 2.038 12.165 3.408
Hf 2.038 14.554 1.136
Hg 0.000 12.282 1.136
Hg 0.000 14.436 3.408
Hg 2.038 1.077 3.408
Hg 2.038 25.641 1.136
Te 0.000 6.966 1.136
Te 0.000 10.166 3.408
Te 0.000 16.552 1.136
Te 0.000 19.752 3.408
Te 2.038 3.193 1.136
Te 2.038 6.393 3.408
Te 2.038 20.326 1.136
Te 2.038 23.526 3.408
```

Computed properties:
* ΔE_f (raw): -0.59 eV per formula unit
* Fermi-level density of states: 6.1 states/eV per cell